Entry 1:
Material: MnAg3Cl8
Method: DFT, PBE
State: optimized geometry

The structure in POSCAR format:
```
MnAg3Cl8
1.0
-2.2927 -4.7144 -5.1252
7.7026 -1.0167 2.7331
-5.2720 -2.0841 4.2754
Mn Ag Cl
1 3 8
direct
0.0000 0.0000 0.0000
0.5000 0.0000 0.0000
0.5000 0.5000 0.0000
0.0000 0.5000 0.0000
0.2701 0.5402 0.7864
0.7299 0.4598 0.2136
0.2088 0.9845 0.7630
0.7757 0.9845 0.7630
0.7767 0.5535 0.7872
0.2233 0.4465 0.2128
0.2243 0.0155 0.2370
0.7912 0.0155 0.2370
```

Properties
magnetization = 5.506 μB/f.u.
space-group type = No. 12
energy relative to the elements, uncorrected = -0.560 eV/atom
total energy = -3.27 eV/atom

Entry 2:
Material: MnAg3Cl9
Method: DFT, PBE
State: optimized geometry

The structure in POSCAR format:
```
MnAg3Cl9
1.0
6.0403 0.0000 2.5418
3.2596 11.2812 0.7019
-1.0207 -2.3918 10.8736
Mn Ag Cl
2 6 18
direct
0.1478 0.5142 0.9245
0.4135 0.0142 0.4245
0.5761 0.6049 0.7230
0.0960 0.1049 0.2230
0.1906 0.9568 0.7722
0.0804 0.4568 0.2722
0.7503 0.1576 0.6560
0.4360 0.6576 0.1560
0.0568 0.1744 0.4634
0.3054 0.6744 0.9634
0.0215 0.3658 0.8844
0.7283 0.8658 0.3844
0.1969 0.9113 0.5415
0.3503 0.4113 0.0415
0.8583 0.6208 0.1148
0.4060 0.1208 0.6148
0.5851 0.1186 0.3086
0.9877 0.6186 0.8086
0.5704 0.8114 0.7084
0.9099 0.3114 0.2084
0.2552 0.5935 0.3481
0.8033 0.0935 0.8481
0.4921 0.4134 0.7402
0.3543 0.9134 0.2402
0.1778 0.0148 0.9926
0.8147 0.5148 0.4926
```

Properties
magnetization = 2.986 μB/f.u.
space-group type = No. 9
energy relative to the elements, uncorrected = -0.526 eV/atom
total energy = -3.17 eV/atom

Entry 3:
Material: MnAg7Cl12
Method: DFT, PBE
State: optimized geometry

The structure in POSCAR format:
```
MnAg7Cl12
1.0
-5.3600 -0.2893 3.8733
7.6562 -0.0830 6.8179
0.9321 8.4748 5.6936
Mn Ag Cl
1 7 12
direct
0.0000 0.0000 0.0000
0.0233 0.3182 0.1387
0.8380 0.8613 0.4568
0.2948 0.4568 0.6818
0.5000 0.0000 0.0000
0.7052 0.5432 0.3182
0.1620 0.1387 0.5432
0.9767 0.6818 0.8613
0.7219 0.4557 0.1234
0.1547 0.8766 0.5791
0.2127 0.1203 0.0976
0.6897 0.9024 0.2178
0.7338 0.5791 0.5443
0.9075 0.2178 0.8797
0.0925 0.7822 0.1203
0.2662 0.4209 0.4557
0.3103 0.0976 0.7822
0.7873 0.8797 0.9024
0.8453 0.1234 0.4209
0.2781 0.5443 0.8766
```

Properties
magnetization = 2.987 μB/f.u.
space-group type = No. 148
energy relative to the elements, uncorrected = -0.497 eV/atom
total energy = -3.06 eV/atom